Record 1
La4Pr2Tm3: relaxed, GGA-PBE.

Unit cell a=10.435 b=10.435 c=6.102 alpha=96.63 beta=96.63 gamma=70.29
Atoms (fractional coordinates):
La 0.049 0.827 0.962
La 0.162 0.384 0.126
La 0.173 0.951 0.538
La 0.384 0.162 0.626
La 0.616 0.838 0.374
La 0.827 0.049 0.462
La 0.838 0.616 0.874
La 0.951 0.173 0.038
Pr 0.286 0.505 0.700
Pr 0.495 0.714 0.800
Pr 0.505 0.286 0.200
Pr 0.714 0.495 0.300
Tm 0.022 0.314 0.581
Tm 0.314 0.022 0.081
Tm 0.356 0.644 0.250
Tm 0.644 0.356 0.750
Tm 0.686 0.978 0.919
Tm 0.978 0.686 0.419

Summary:
Volume: 619 Å³ per cell
VASP energy: -4.66 eV per atom
D(E_F): 25.1 states/eV per cell

---

Record 2
La2Pr7Tm3: relaxed, GGA-PBE.

Unit cell a=6.554 b=3.603 c=17.819 alpha=90.00 beta=95.63 gamma=90.00
Atoms (fractional coordinates):
La 0.059 0.000 0.170
La 0.941 0.000 0.830
Pr 0.000 0.500 0.500
Pr 0.230 0.000 0.670
Pr 0.259 0.000 0.995
Pr 0.281 0.500 0.337
Pr 0.719 0.500 0.663
Pr 0.741 0.000 0.005
Pr 0.770 0.000 0.330
Tm 0.456 0.500 0.842
Tm 0.500 0.000 0.500
Tm 0.544 0.500 0.158

Summary:
Volume: 419 Å³ per cell
VASP energy: -4.66 eV per atom
D(E_F): 18.8 states/eV per cell

---

Record 3
La4Pr4Tm: relaxed, GGA-PBE.

Unit cell a=8.256 b=8.256 c=8.256 alpha=95.83 beta=95.83 gamma=142.82
Atoms (fractional coordinates):
La 0.166 0.166 0.331
La 0.166 0.834 0.000
La 0.834 0.166 0.000
La 0.834 0.834 0.669
Pr 0.168 0.500 0.668
Pr 0.500 0.168 0.668
Pr 0.500 0.832 0.332
Pr 0.832 0.500 0.332
Tm 0.500 0.500 0.000

Summary:
Volume: 322 Å³ per cell
VASP energy: -4.79 eV per atom
D(E_F): 15.3 states/eV per cell

---

Record 4
La8PrTm3: relaxed, GGA-PBE.

Unit cell a=8.830 b=8.830 c=8.830 alpha=134.39 beta=100.38 gamma=96.90
Atoms (fractional coordinates):
La 0.080 0.247 0.833
La 0.221 0.280 0.501
La 0.221 0.720 0.941
La 0.413 0.247 0.167
La 0.587 0.753 0.833
La 0.779 0.280 0.059
La 0.779 0.720 0.499
La 0.920 0.753 0.167
Pr 0.500 0.500 0.000
Tm 0.000 0.000 0.000
Tm 0.218 0.718 0.500
Tm 0.782 0.282 0.500

Summary:
Volume: 453 Å³ per cell
VASP energy: -4.48 eV per atom
D(E_F): 19.6 states/eV per cell

---

Record 5
LaPrTm6: relaxed, GGA-PBE.

Unit cell a=6.637 b=6.637 c=6.637 alpha=80.85 beta=80.85 gamma=80.85
Atoms (fractional coordinates):
La 0.000 0.000 0.000
Pr 0.500 0.500 0.500
Tm 0.153 0.153 0.518
Tm 0.153 0.518 0.153
Tm 0.482 0.847 0.847
Tm 0.518 0.153 0.153
Tm 0.847 0.482 0.847
Tm 0.847 0.847 0.482

Summary:
Volume: 282 Å³ per cell
VASP energy: -4.01 eV per atom
D(E_F): 11.5 states/eV per cell

---

Record 6
LaPr2Tm: relaxed, GGA-PBE.

Unit cell a=3.670 b=3.670 c=10.374 alpha=90.00 beta=90.00 gamma=90.00
Atoms (fractional coordinates):
La 0.000 0.000 0.000
Pr 0.500 0.500 0.258
Pr 0.500 0.500 0.742
Tm 0.000 0.000 0.500

Summary:
Volume: 140 Å³ per cell
VASP energy: -4.71 eV per atom
D(E_F): 7.2 states/eV per cell

---

no.,energy of formation (eV per atom)
1,0.081
2,0.064
3,0.016
4,0.324
5,0.560
6,0.025